Material: TlNi2Ir
Method: DFT, GGA-PBE
State: relaxed

Output
Density, g/cm³: 14.1
Relative energy among the computed polymorphs, meV per atom: 163

The structure in CIF format:
```
data_TlNi2Ir
_cell_length_a 2.8789
_cell_length_b 2.8789
_cell_length_c 25.3181
_cell_angle_alpha 90.00
_cell_angle_beta 90.00
_cell_angle_gamma 120.00
_space_group_name_H-M_alt 'R -3 m'
_space_group_IT_number 166
_space_group_name_Hall '-R 3 2"'
loop_
_atom_site_label
_atom_site_fract_x
_atom_site_fract_y
_atom_site_fract_z
Tl1 0.0000 0.0000 0.0000
Ni1 0.0000 0.0000 0.2442
Ir1 0.0000 0.0000 0.5000
```


Material: SrMnHg
Method: DFT, GGA-PBE
State: relaxed

Output
Density, g/cm³: 5.6
Energy, eV/atom: -3.08

The structure in CIF format:
```
data_SrMnHg
_cell_length_a 7.3986
_cell_length_b 7.3986
_cell_length_c 7.3986
_cell_angle_alpha 90.00
_cell_angle_beta 90.00
_cell_angle_gamma 90.00
_space_group_name_H-M_alt 'F -4 3 m'
_space_group_IT_number 216
_space_group_name_Hall 'F -4 2 3'
loop_
_atom_site_label
_atom_site_fract_x
_atom_site_fract_y
_atom_site_fract_z
Sr1 0.0000 0.0000 0.0000
Mn1 0.2500 0.2500 0.7500
Hg1 0.2500 0.2500 0.2500
```


Material: Mo2RuPtN
Method: DFT, GGA-PBE
State: relaxed

Output
Density, g/cm³: 12.3
Raw formation energy, kJ/mol of formula units: -75

The structure in CIF format:
```
data_Mo2RuPtN
_cell_length_a 4.0810
_cell_length_b 4.0810
_cell_length_c 4.0756
_cell_angle_alpha 90.00
_cell_angle_beta 90.00
_cell_angle_gamma 90.00
_space_group_name_H-M_alt 'P 4/m m m'
_space_group_IT_number 123
_space_group_name_Hall '-P 4 2'
loop_
_atom_site_label
_atom_site_fract_x
_atom_site_fract_y
_atom_site_fract_z
Mo1 0.0000 0.5000 0.0000
Ru1 0.0000 0.0000 0.5000
Pt1 0.5000 0.5000 0.5000
N1 0.0000 0.0000 0.0000
```


Material: DyScCl3
Method: DFT, GGA-PBE
State: relaxed

Output
Density, g/cm³: 3.8
Raw formation energy, kJ/mol of formula units: -866

The structure in CIF format:
```
data_DyScCl3
_cell_length_a 17.1406
_cell_length_b 3.6488
_cell_length_c 10.7079
_cell_angle_alpha 90.00
_cell_angle_beta 124.04
_cell_angle_gamma 90.00
_space_group_name_H-M_alt 'C 1 2/m 1'
_space_group_IT_number 12
_space_group_name_Hall '-C 2y'
loop_
_atom_site_label
_atom_site_fract_x
_atom_site_fract_y
_atom_site_fract_z
Dy1 0.1369 0.0000 0.2858
Sc1 0.0705 0.5000 0.9585
Cl1 0.0339 0.0000 0.7557
Cl2 0.1673 0.5000 0.5084
Cl3 0.2039 0.0000 0.1118
```


Material: Pr6RuRh
Method: DFT, GGA-PBE
State: relaxed

Output
Density, g/cm³: 5.5
Energy, eV/atom: -5.57

The structure in CIF format:
```
data_Pr6RuRh
_cell_length_a 13.2663
_cell_length_b 13.2663
_cell_length_c 6.2807
_cell_angle_alpha 90.00
_cell_angle_beta 90.00
_cell_angle_gamma 120.00
_space_group_name_H-M_alt 'R -3 m'
_space_group_IT_number 166
_space_group_name_Hall '-R 3 2"'
loop_
_atom_site_label
_atom_site_fract_x
_atom_site_fract_y
_atom_site_fract_z
Pr1 0.1004 0.2008 0.2395
Ru1 0.0000 0.0000 0.0000
Rh1 0.0000 0.0000 0.5000
```


Material: CsRb2Na2
Method: DFT, GGA-PBE
State: relaxed

Output
Density, g/cm³: 1.6
Relative energy among the computed polymorphs, meV per atom: 4

The structure in CIF format:
```
data_CsRb2Na2
_cell_length_a 5.2790
_cell_length_b 22.7182
_cell_length_c 6.2436
_cell_angle_alpha 90.00
_cell_angle_beta 90.00
_cell_angle_gamma 90.00
_space_group_name_H-M_alt 'C m m m'
_space_group_IT_number 65
_space_group_name_Hall '-C 2 2'
loop_
_atom_site_label
_atom_site_fract_x
_atom_site_fract_y
_atom_site_fract_z
Cs1 0.0000 0.0000 0.0000
Rb1 0.0000 0.3480 0.5000
Na1 0.0000 0.1978 0.0000
```


Material: K2YTe
Method: DFT, GGA-PBE
State: relaxed

Output
Density, g/cm³: 3.3
Raw formation energy, kJ/mol of formula units: -15

The structure in CIF format:
```
data_K2YTe
_cell_length_a 5.1426
_cell_length_b 5.1426
_cell_length_c 11.3568
_cell_angle_alpha 90.00
_cell_angle_beta 90.00
_cell_angle_gamma 90.00
_space_group_name_H-M_alt 'I -4 m 2'
_space_group_IT_number 119
_space_group_name_Hall 'I -4 -2'
loop_
_atom_site_label
_atom_site_fract_x
_atom_site_fract_y
_atom_site_fract_z
K1 0.0000 0.0000 0.0000
K2 0.0000 0.5000 0.2500
Y1 0.0000 0.0000 0.5000
Te1 0.0000 0.5000 0.7500
```


Material: Rb3AsSe
Method: DFT, GGA-PBE
State: relaxed

Output
Density, g/cm³: 3.3
Raw formation energy, kJ/mol of formula units: -321
Relative energy among the computed polymorphs, meV per atom: 0

The structure in CIF format:
```
data_Rb3AsSe
_cell_length_a 17.9020
_cell_length_b 4.5870
_cell_length_c 10.2215
_cell_angle_alpha 90.00
_cell_angle_beta 98.89
_cell_angle_gamma 90.00
_space_group_name_H-M_alt 'C 1 2/m 1'
_space_group_IT_number 12
_space_group_name_Hall '-C 2y'
loop_
_atom_site_label
_atom_site_fract_x
_atom_site_fract_y
_atom_site_fract_z
Rb1 0.0575 0.0000 0.1459
Rb2 0.0999 0.5000 0.5929
Rb3 0.2359 0.0000 0.8388
As1 0.2179 0.0000 0.4679
Se1 0.1052 0.5000 0.9103
```


Material: U4Ta3NbC8
Method: DFT, GGA-PBE
State: relaxed

Output
Density, g/cm³: 13.6
Energy, eV/atom: -10.76

The structure in CIF format:
```
data_U4Ta3NbC8
_cell_length_a 6.5093
_cell_length_b 6.5093
_cell_length_c 16.8596
_cell_angle_alpha 90.00
_cell_angle_beta 90.00
_cell_angle_gamma 120.00
_space_group_name_H-M_alt 'R -3 m'
_space_group_IT_number 166
_space_group_name_Hall '-R 3 2"'
loop_
_atom_site_label
_atom_site_fract_x
_atom_site_fract_y
_atom_site_fract_z
U1 0.0000 0.0000 0.0000
U2 0.0000 0.5000 0.0000
Ta1 0.0000 0.5000 0.5000
Nb1 0.0000 0.0000 0.5000
C1 0.0000 0.0000 0.2417
C2 0.0023 0.5011 0.7577
```


Material: LiAlCd
Method: DFT, GGA-PBE
State: relaxed

Output
Density, g/cm³: 4.5
Relative energy among the computed polymorphs, meV per atom: 16

The structure in CIF format:
```
data_LiAlCd
_cell_length_a 4.8616
_cell_length_b 5.0921
_cell_length_c 8.7135
_cell_angle_alpha 90.00
_cell_angle_beta 90.00
_cell_angle_gamma 90.00
_space_group_name_H-M_alt 'A m a 2'
_space_group_IT_number 40
_space_group_name_Hall 'A 2 -2a'
loop_
_atom_site_label
_atom_site_fract_x
_atom_site_fract_y
_atom_site_fract_z
Li1 0.2500 0.1698 0.0000
Al1 0.2500 0.1540 0.6613
Cd1 0.2500 0.1735 0.3315
```


Material: NaMgBeSe2
Method: DFT, GGA-PBE
State: relaxed

Output
Density, g/cm³: 3.1
Raw formation energy, kJ/mol of formula units: -280

The structure in CIF format:
```
data_NaMgBeSe2
_cell_length_a 6.7957
_cell_length_b 4.9841
_cell_length_c 6.8978
_cell_angle_alpha 90.00
_cell_angle_beta 95.94
_cell_angle_gamma 90.00
_space_group_name_H-M_alt 'P 1 2/c 1'
_space_group_IT_number 13
_space_group_name_Hall '-P 2yc'
loop_
_atom_site_label
_atom_site_fract_x
_atom_site_fract_y
_atom_site_fract_z
Na1 0.0000 0.2067 0.2500
Mg1 0.5000 0.4320 0.2500
Be1 0.5000 0.0000 0.0000
Se1 0.2579 0.2599 0.9208
```


Material: Tb2DyIn3Se6
Method: DFT, GGA-PBE
State: relaxed

Output
Density, g/cm³: 6.2
Raw formation energy, kJ/mol of formula units: -1509

The structure in CIF format:
```
data_Tb2DyIn3Se6
_cell_length_a 7.2071
_cell_length_b 12.4828
_cell_length_c 8.1068
_cell_angle_alpha 90.00
_cell_angle_beta 107.25
_cell_angle_gamma 90.00
_space_group_name_H-M_alt 'C 1 2/m 1'
_space_group_IT_number 12
_space_group_name_Hall '-C 2y'
loop_
_atom_site_label
_atom_site_fract_x
_atom_site_fract_y
_atom_site_fract_z
Tb1 0.0000 0.1666 0.0000
Dy1 0.0000 0.5000 0.0000
In1 0.0000 0.0000 0.5000
In2 0.0000 0.3331 0.5000
Se1 0.2357 0.3339 0.2087
Se2 0.2375 0.0000 0.2091
```


Material: Ac3LaRh3
Method: DFT, GGA-PBE
State: relaxed

Output
Density, g/cm³: 9.6
Relative energy among the computed polymorphs, meV per atom: 110

The structure in CIF format:
```
data_Ac3LaRh3
_cell_length_a 10.3661
_cell_length_b 10.3661
_cell_length_c 6.3258
_cell_angle_alpha 90.00
_cell_angle_beta 90.00
_cell_angle_gamma 120.00
_space_group_name_H-M_alt 'R 3 m'
_space_group_IT_number 160
_space_group_name_Hall 'R 3 -2"'
loop_
_atom_site_label
_atom_site_fract_x
_atom_site_fract_y
_atom_site_fract_z
Ac1 0.0490 0.5245 0.0000
La1 0.0000 0.0000 0.9001
Rh1 0.0150 0.5075 0.4815
```


Material: CuHg5
Method: DFT, GGA-PBE
State: relaxed

Output
Density, g/cm³: 12.5
Relative energy among the computed polymorphs, meV per atom: 20

The structure in CIF format:
```
data_CuHg5
_cell_length_a 3.1661
_cell_length_b 3.1661
_cell_length_c 14.0811
_cell_angle_alpha 90.00
_cell_angle_beta 90.00
_cell_angle_gamma 90.00
_space_group_name_H-M_alt 'P 4/m m m'
_space_group_IT_number 123
_space_group_name_Hall '-P 4 2'
loop_
_atom_site_label
_atom_site_fract_x
_atom_site_fract_y
_atom_site_fract_z
Cu1 0.0000 0.0000 0.0000
Hg1 0.0000 0.0000 0.3103
Hg2 0.5000 0.5000 0.1245
Hg3 0.5000 0.5000 0.5000
```


Material: Tb2ZrScAs4
Method: DFT, GGA-PBE
State: relaxed

Output
Density, g/cm³: 6.9
Energy, eV/atom: -6.74

The structure in CIF format:
```
data_Tb2ZrScAs4
_cell_length_a 6.9159
_cell_length_b 3.9976
_cell_length_c 6.9339
_cell_angle_alpha 90.00
_cell_angle_beta 109.35
_cell_angle_gamma 90.00
_space_group_name_H-M_alt 'P 1 2/m 1'
_space_group_IT_number 10
_space_group_name_Hall '-P 2y'
loop_
_atom_site_label
_atom_site_fract_x
_atom_site_fract_y
_atom_site_fract_z
Tb1 0.0000 0.0000 0.0000
Tb2 0.5000 0.5000 0.0000
Zr1 0.0000 0.5000 0.5000
Sc1 0.5000 0.0000 0.5000
As1 0.2455 0.0000 0.7346
As2 0.2556 0.5000 0.2663
```


Material: Ba5Li3
Method: DFT, GGA-PBE
State: relaxed

Output
Density, g/cm³: 3.0
Relative energy among the computed polymorphs, meV per atom: 6

The structure in CIF format:
```
data_Ba5Li3
_cell_length_a 10.8124
_cell_length_b 10.8124
_cell_length_c 7.7876
_cell_angle_alpha 90.00
_cell_angle_beta 90.00
_cell_angle_gamma 120.00
_space_group_name_H-M_alt 'P 63/m c m'
_space_group_IT_number 193
_space_group_name_Hall '-P 6c 2'
loop_
_atom_site_label
_atom_site_fract_x
_atom_site_fract_y
_atom_site_fract_z
Ba1 0.0000 0.2481 0.2500
Ba2 0.3333 0.6667 0.0000
Li1 0.0000 0.4043 0.7500
```


Material: TaAl2Se
Method: DFT, GGA-PBE
State: relaxed

Output
Density, g/cm³: 7.3
Raw formation energy, kJ/mol of formula units: -23

The structure in CIF format:
```
data_TaAl2Se
_cell_length_a 3.1983
_cell_length_b 3.1983
_cell_length_c 24.0817
_cell_angle_alpha 90.00
_cell_angle_beta 90.00
_cell_angle_gamma 120.00
_space_group_name_H-M_alt 'R -3 m'
_space_group_IT_number 166
_space_group_name_Hall '-R 3 2"'
loop_
_atom_site_label
_atom_site_fract_x
_atom_site_fract_y
_atom_site_fract_z
Ta1 0.0000 0.0000 0.0000
Al1 0.0000 0.0000 0.2443
Se1 0.0000 0.0000 0.5000
```


Material: BaTh2TcN5
Method: DFT, GGA-PBE
State: relaxed

Output
Density, g/cm³: 8.9
Raw formation energy, kJ/mol of formula units: -894

The structure in CIF format:
```
data_BaTh2TcN5
_cell_length_a 7.0032
_cell_length_b 7.0032
_cell_length_c 11.7151
_cell_angle_alpha 90.00
_cell_angle_beta 90.00
_cell_angle_gamma 90.00
_space_group_name_H-M_alt 'I 4/m c m'
_space_group_IT_number 140
_space_group_name_Hall '-I 4 2c'
loop_
_atom_site_label
_atom_site_fract_x
_atom_site_fract_y
_atom_site_fract_z
Ba1 0.0000 0.0000 0.2500
Th1 0.1836 0.3164 0.0000
Tc1 0.0000 0.5000 0.2500
N1 0.0000 0.0000 0.0000
N2 0.1386 0.3614 0.3615
```


Material: Nb2TlPdO6
Method: DFT, GGA-PBE
State: relaxed

Output
Density, g/cm³: 5.1
Raw formation energy, kJ/mol of formula units: -1716

The structure in CIF format:
```
data_Nb2TlPdO6
_cell_length_a 13.2478
_cell_length_b 9.8834
_cell_length_c 6.5192
_cell_angle_alpha 90.00
_cell_angle_beta 114.55
_cell_angle_gamma 90.00
_space_group_name_H-M_alt 'C 1 2/c 1'
_space_group_IT_number 15
_space_group_name_Hall '-C 2yc'
loop_
_atom_site_label
_atom_site_fract_x
_atom_site_fract_y
_atom_site_fract_z
Nb1 0.2129 0.1052 0.1982
Tl1 0.0000 0.4050 0.2500
Pd1 0.0000 0.2866 0.7500
O1 0.1106 0.2428 0.1036
O2 0.1498 0.3167 0.6905
O3 0.1993 0.0104 0.4469
```


Material: LiPaNiS3
Method: DFT, GGA-PBE
State: relaxed

Output
Density, g/cm³: 6.0
Raw formation energy, kJ/mol of formula units: -735

The structure in CIF format:
```
data_LiPaNiS3
_cell_length_a 7.4898
_cell_length_b 3.7282
_cell_length_c 8.0291
_cell_angle_alpha 90.00
_cell_angle_beta 102.05
_cell_angle_gamma 90.00
_space_group_name_H-M_alt 'P 1 21/m 1'
_space_group_IT_number 11
_space_group_name_Hall '-P 2yb'
loop_
_atom_site_label
_atom_site_fract_x
_atom_site_fract_y
_atom_site_fract_z
Li1 0.1469 0.2500 0.1595
Pa1 0.3227 0.7500 0.7524
Ni1 0.4085 0.7500 0.4109
S1 0.0954 0.2500 0.8382
S2 0.2717 0.2500 0.4897
S3 0.4119 0.7500 0.1333
```


Material: Ce2TmTl4
Method: DFT, GGA-PBE
State: relaxed

Output
Density, g/cm³: 9.5
Relative energy among the computed polymorphs, meV per atom: 0

The structure in CIF format:
```
data_Ce2TmTl4
_cell_length_a 7.4139
_cell_length_b 7.4139
_cell_length_c 8.0360
_cell_angle_alpha 90.00
_cell_angle_beta 90.00
_cell_angle_gamma 90.00
_space_group_name_H-M_alt 'I 4/m m m'
_space_group_IT_number 139
_space_group_name_Hall '-I 4 2'
loop_
_atom_site_label
_atom_site_fract_x
_atom_site_fract_y
_atom_site_fract_z
Ce1 0.0000 0.5000 0.0000
Tm1 0.0000 0.0000 0.0000
Tl1 0.2500 0.2500 0.2500
```


Material: Ac2PmDyY
Method: DFT, GGA-PBE
State: relaxed

Output
Density, g/cm³: 7.2
Energy, eV/atom: -4.54

The structure in CIF format:
```
data_Ac2PmDyY
_cell_length_a 6.4499
_cell_length_b 8.9600
_cell_length_c 6.7441
_cell_angle_alpha 90.00
_cell_angle_beta 90.00
_cell_angle_gamma 90.00
_space_group_name_H-M_alt 'P m m a'
_space_group_IT_number 51
_space_group_name_Hall '-P 2a 2a'
loop_
_atom_site_label
_atom_site_fract_x
_atom_site_fract_y
_atom_site_fract_z
Ac1 0.2500 0.2035 0.2089
Pm1 0.2500 0.5000 0.9172
Dy1 0.0000 0.5000 0.5000
Y1 0.2500 0.0000 0.6805
```


Material: Cr2PN2
Method: DFT, GGA-PBE
State: relaxed

Output
Density, g/cm³: 5.0
Raw formation energy, kJ/mol of formula units: 55
Relative energy among the computed polymorphs, meV per atom: 0

The structure in CIF format:
```
data_Cr2PN2
_cell_length_a 3.6970
_cell_length_b 3.6970
_cell_length_c 7.9194
_cell_angle_alpha 90.00
_cell_angle_beta 90.00
_cell_angle_gamma 90.00
_space_group_name_H-M_alt 'I 4/m m m'
_space_group_IT_number 139
_space_group_name_Hall '-I 4 2'
loop_
_atom_site_label
_atom_site_fract_x
_atom_site_fract_y
_atom_site_fract_z
Cr1 0.0000 0.5000 0.2500
P1 0.0000 0.0000 0.0000
N1 0.0000 0.0000 0.3235
```